# 1
! CaPr4Nd2Tm (PBE-GGA, relaxed); values from VASP
! Uncorrected energy in eV/atom: -4.034
! Magnetic moment in μB/cell: 0.00
! Density in g/cm³: 6.1
! Crystal system: monoclinic
! Volume in Å³ per atom: 36.2
&SYSTEM
  ibrav = 0, nat = 16, ntyp = 4
/
ATOMIC_SPECIES
Ca 40.08 Ca.upf
Pr 140.91 Pr.upf
Nd 144.24 Nd.upf
Tm 168.93 Tm.upf
ATOMIC_POSITIONS angstrom
Ca -1.2883 -2.7174 1.7500
Ca -9.4084 1.4669 2.2344
Pr 3.9403 -6.7053 -0.5346
Pr -4.1443 -2.5450 -0.1082
Pr 1.5676 -2.8897 3.6083
Pr -6.5170 1.2704 4.0345
Pr 1.5864 -9.6526 -3.5412
Pr -0.7468 -6.1280 0.4796
Pr -1.8298 0.6931 3.0204
Pr -4.1630 4.2179 7.0413
Nd -2.3177 -3.0830 -3.0168
Nd -4.7042 0.7334 1.1172
Nd -2.3865 3.8164 4.1340
Nd 1.0982 -6.5338 -2.3840
Tm 3.4159 -3.4509 0.6328
Tm -3.6060 -5.8004 -1.2668
CELL_PARAMETERS angstrom
-4.6353 -6.1659 -6.0336
6.8318 -6.9017 1.2656
-4.7731 7.6328 8.2680

# 2
! CaPrNd6Tm2 (PBE-GGA, relaxed); values from VASP
! Uncorrected energy in eV/atom: -4.302
! Magnetic moment in μB/cell: 0.00
! Density in g/cm³: 6.5
! Crystal system: monoclinic
! Volume in Å³ per atom: 35.2
&SYSTEM
  ibrav = 0, nat = 20, ntyp = 4
/
ATOMIC_SPECIES
Ca 40.08 Ca.upf
Pr 140.91 Pr.upf
Nd 144.24 Nd.upf
Tm 168.93 Tm.upf
ATOMIC_POSITIONS angstrom
Ca 3.1457 1.5728 3.8003
Ca 7.8635 2.6956 0.6293
Pr 3.1457 7.8899 -2.2870
Pr 7.8635 -3.6216 6.7165
Nd 1.1807 -0.9641 6.2461
Nd 5.1106 -0.9654 6.2447
Nd 9.8285 5.2324 -1.8165
Nd 5.8985 5.2337 -1.8152
Nd 4.1651 6.8082 1.0688
Nd 2.1262 4.4964 -1.3304
Nd 6.8441 -2.5399 3.3608
Nd 8.8830 -0.2281 5.7599
Nd 2.0824 4.7508 2.5416
Nd 4.2089 2.9483 0.6710
Nd 8.9268 -0.4825 1.8880
Nd 6.8003 1.3200 3.7586
Tm 5.4601 4.3842 3.4410
Tm 0.8312 2.0360 1.0041
Tm 5.5490 -0.1159 0.9886
Tm 10.1780 2.2323 3.4255
CELL_PARAMETERS angstrom
9.4357 -2.0876 -2.1664
0.7867 8.7373 -2.0590
0.7867 -2.3814 8.6550

# 3
! CaPr6Nd2Tm (PBE-GGA, relaxed); values from VASP
! Uncorrected energy in eV/atom: -4.356
! Magnetic moment in μB/cell: 0.00
! Density in g/cm³: 6.2
! Crystal system: monoclinic
! Volume in Å³ per atom: 36.2
&SYSTEM
  ibrav = 0, nat = 20, ntyp = 4
/
ATOMIC_SPECIES
Ca 40.08 Ca.upf
Pr 140.91 Pr.upf
Nd 144.24 Nd.upf
Tm 168.93 Tm.upf
ATOMIC_POSITIONS angstrom
Ca 3.2356 8.0745 -2.3595
Ca 7.9474 -3.6651 6.9356
Pr 1.2967 -0.7803 6.2084
Pr 5.1744 -0.8157 6.1717
Pr 9.8863 5.1898 -1.6324
Pr 6.0086 5.2252 -1.5957
Pr 4.2114 7.0329 1.1166
Pr 2.2597 4.5622 -1.4474
Pr 6.9715 -2.6234 3.4595
Pr 8.9233 -0.1527 6.0234
Pr 2.1675 4.8396 2.6441
Pr 4.3036 2.9544 0.6878
Pr 9.0155 -0.4301 1.9319
Pr 6.8794 1.4550 3.8882
Nd 5.6017 4.4964 3.4364
Nd 0.8694 2.1499 1.0013
Nd 5.5813 -0.0869 1.1396
Nd 10.3136 2.2595 3.5747
Tm 3.2356 1.6861 3.7964
Tm 7.9474 2.7234 0.7797
CELL_PARAMETERS angstrom
9.4238 -2.0158 -2.0920
0.8796 8.8577 -2.1056
0.8796 -2.4324 8.7736

# 4
! CaPrNd6Y2 (PBE-GGA, relaxed); values from VASP
! Uncorrected energy in eV/atom: -4.700
! Magnetic moment in μB/cell: 0.00
! Density in g/cm³: 5.7
! Crystal system: monoclinic
! Volume in Å³ per atom: 35.7
&SYSTEM
  ibrav = 0, nat = 20, ntyp = 4
/
ATOMIC_SPECIES
Ca 40.08 Ca.upf
Pr 140.91 Pr.upf
Nd 144.24 Nd.upf
Y 88.91 Y.upf
ATOMIC_POSITIONS angstrom
Ca -0.2898 -4.3256 2.9741
Ca -1.0931 -8.2571 -1.1720
Pr 5.8171 -5.8588 -3.0446
Pr -7.1999 -6.7239 4.8467
Nd -1.9577 -2.0089 5.8715
Nd -3.6407 -5.3823 5.0232
Nd 0.5749 -10.5738 -4.0693
Nd 2.2579 -7.2004 -3.2211
Nd 4.1844 -7.0146 -0.0337
Nd 3.2127 -3.6393 -1.8795
Nd -5.5672 -5.5681 1.8359
Nd -4.5955 -8.9434 3.6816
Nd 3.1667 -4.5580 1.8543
Nd 0.7942 -5.2332 -0.3810
Nd -4.5495 -8.0247 -0.0522
Nd -2.1770 -7.3495 2.1831
Y 1.2124 -7.5319 2.0894
Y 1.3335 -1.9040 0.7786
Y -2.5952 -5.0508 -0.2872
Y -2.7163 -10.6787 1.0236
CELL_PARAMETERS angstrom
-5.8044 -6.8089 -4.1550
7.6404 -4.2500 -2.3726
-3.2188 -1.5238 8.3298

# 5
! CaPr6Nd2Y3 (PBE-GGA, relaxed); values from VASP
! Uncorrected energy in eV/atom: -4.947
! Magnetic moment in μB/cell: 0.00
! Density in g/cm³: 5.7
! Crystal system: monoclinic
! Volume in Å³ per atom: 35.2
&SYSTEM
  ibrav = 0, nat = 12, ntyp = 4
/
ATOMIC_SPECIES
Ca 40.08 Ca.upf
Pr 140.91 Pr.upf
Nd 144.24 Nd.upf
Y 88.91 Y.upf
ATOMIC_POSITIONS angstrom
Ca 0.0000 0.0000 0.0000
Pr -9.1566 2.9170 -0.5109
Pr -4.2938 -0.0784 -2.9697
Pr -3.4281 -1.4510 0.3137
Pr -9.5932 -0.7329 0.2166
Pr -8.2909 1.5444 2.7724
Pr -2.9915 2.1989 -0.4139
Nd -1.3079 -2.2621 -2.6089
Nd -0.8770 1.3402 -3.3270
Y -6.7231 -2.8683 0.6193
Y -5.8616 4.3343 -0.8165
Y -6.2923 0.7330 -0.0986
CELL_PARAMETERS angstrom
-0.4474 4.9321 -4.0430
-1.7376 -5.8540 -1.8929
-10.3997 2.3879 5.7387

# 6
! Ca2Pr2NdY6 (PBE-GGA, relaxed); values from VASP
! Uncorrected energy in eV/atom: -5.020
! Magnetic moment in μB/cell: 0.00
! Density in g/cm³: 4.2
! Crystal system: monoclinic
! Volume in Å³ per atom: 37.1
&SYSTEM
  ibrav = 0, nat = 11, ntyp = 4
/
ATOMIC_SPECIES
Ca 40.08 Ca.upf
Pr 140.91 Pr.upf
Nd 144.24 Nd.upf
Y 88.91 Y.upf
ATOMIC_POSITIONS angstrom
Ca 4.7151 0.8679 0.0159
Ca -1.5760 4.5279 0.0159
Pr -0.5772 2.6126 6.0222
Pr 2.5564 0.7895 6.0222
Nd -0.5800 -0.9969 6.0063
Y 1.5046 2.5862 8.9180
Y -1.6321 0.7894 8.9314
Y 0.4746 0.8159 3.1264
Y 1.4930 -1.0287 8.9314
Y 3.6113 2.6126 3.1130
Y 0.4862 4.4307 3.1130
CELL_PARAMETERS angstrom
6.2683 -0.0357 0.0159
-3.1292 5.4315 0.0159
-1.1599 -1.9938 12.0126

# 7
! CaPr4Nd2Y (PBE-GGA, relaxed); values from VASP
! Uncorrected energy in eV/atom: -4.284
! Magnetic moment in μB/cell: 0.00
! Density in g/cm³: 5.6
! Crystal system: monoclinic
! Volume in Å³ per atom: 36.5
&SYSTEM
  ibrav = 0, nat = 16, ntyp = 4
/
ATOMIC_SPECIES
Ca 40.08 Ca.upf
Pr 140.91 Pr.upf
Nd 144.24 Nd.upf
Y 88.91 Y.upf
ATOMIC_POSITIONS angstrom
Ca 1.7457 1.7469 2.4675
Ca 3.5029 -6.1447 6.7935
Pr 2.4584 7.2743 -1.8616
Pr 4.1116 -0.7213 2.4703
Pr -0.6203 4.2151 2.4645
Pr 1.0331 -3.7805 6.7964
Pr 0.9546 0.9652 5.8877
Pr 4.2725 4.2854 1.5146
Pr -0.7812 -0.7915 3.4203
Pr 2.5367 2.5287 -0.9528
Nd 4.8193 -0.0024 -0.9293
Nd 1.7515 -3.0723 3.3968
Nd -3.0678 -3.0699 4.3261
Nd 4.8135 4.8168 -1.8587
Y -0.0058 4.8193 -0.9293
Y 6.5650 1.7445 1.5381
CELL_PARAMETERS angstrom
9.6386 -0.0048 -1.8587
-0.0116 9.6385 -1.8587
-6.1356 -6.1399 8.6522

# 8
! Ca2PrNd2Y6 (PBE-GGA, relaxed); values from VASP
! Uncorrected energy in eV/atom: -5.019
! Magnetic moment in μB/cell: 0.00
! Density in g/cm³: 4.3
! Crystal system: monoclinic
! Volume in Å³ per atom: 37.0
&SYSTEM
  ibrav = 0, nat = 11, ntyp = 4
/
ATOMIC_SPECIES
Ca 40.08 Ca.upf
Pr 140.91 Pr.upf
Nd 144.24 Nd.upf
Y 88.91 Y.upf
ATOMIC_POSITIONS angstrom
Ca 4.7211 0.8542 -0.0009
Ca -1.5909 4.5263 -0.0009
Pr -0.5975 -1.0270 6.0077
Nd -0.6042 2.5777 6.0068
Nd 2.5394 0.7488 6.0068
Y 1.4842 2.5512 8.8809
Y -1.6478 0.7681 8.9306
Y 0.4510 0.7753 3.1327
Y 1.4821 -1.0528 8.9306
Y 3.5830 2.5584 3.0831
Y 0.4531 4.3792 3.0831
CELL_PARAMETERS angstrom
6.2672 -0.0453 -0.0009
-3.1370 5.4258 -0.0009
-1.1950 -2.0540 12.0155

# 9
! CaPrNdY (PBE-GGA, relaxed); values from VASP
! Uncorrected energy in eV/atom: -4.467
! Magnetic moment in μB/cell: 0.00
! Density in g/cm³: 4.8
! Crystal system: trigonal
! Volume in Å³ per atom: 35.9
&SYSTEM
  ibrav = 0, nat = 4, ntyp = 4
/
ATOMIC_SPECIES
Ca 40.08 Ca.upf
Pr 140.91 Pr.upf
Nd 144.24 Nd.upf
Y 88.91 Y.upf
ATOMIC_POSITIONS angstrom
Ca 1.8418 1.0633 8.2398
Pr 0.0000 2.1267 11.4760
Nd 0.0000 0.0000 5.0303
Y 1.8418 1.0633 2.1513
CELL_PARAMETERS angstrom
3.6835 0.0000 0.0000
-1.8418 3.1900 0.0000
0.0000 0.0000 12.2296

# 10
! CaPr6NdY2 (PBE-GGA, relaxed); values from VASP
! Uncorrected energy in eV/atom: -4.710
! Magnetic moment in μB/cell: 0.00
! Density in g/cm³: 5.6
! Crystal system: monoclinic
! Volume in Å³ per atom: 36.1
&SYSTEM
  ibrav = 0, nat = 20, ntyp = 4
/
ATOMIC_SPECIES
Ca 40.08 Ca.upf
Pr 140.91 Pr.upf
Nd 144.24 Nd.upf
Y 88.91 Y.upf
ATOMIC_POSITIONS angstrom
Ca 3.2020 1.6412 3.8639
Ca 7.9253 2.7800 0.7243
Pr 1.2717 -0.9824 6.3512
Pr 5.1323 -0.9416 6.3936
Pr 9.8556 5.4037 -1.7630
Pr 5.9950 5.3628 -1.8053
Pr 4.2352 6.9494 1.1304
Pr 2.1689 4.5696 -1.3393
Pr 6.8922 -2.5282 3.4579
Pr 8.9585 -0.1484 5.9276
Pr 2.1210 4.8585 2.5355
Pr 4.2831 3.0880 0.6981
Pr 9.0064 -0.4373 2.0528
Pr 6.8443 1.3332 3.8902
Nd 3.2020 7.9259 -2.1920
Nd 7.9253 -3.5047 6.7803
Y 5.5202 4.4615 3.5900
Y 0.8838 2.0196 1.0558
Y 5.6072 -0.0402 0.9983
Y 10.2435 2.4017 3.5325
CELL_PARAMETERS angstrom
9.4466 -2.0409 -2.1180
0.8404 8.8291 -2.0411
0.8404 -2.3669 8.7474

# 11
! CaPr6Nd2Y (PBE-GGA, relaxed); values from VASP
! Uncorrected energy in eV/atom: -4.559
! Magnetic moment in μB/cell: 0.00
! Density in g/cm³: 5.8
! Crystal system: monoclinic
! Volume in Å³ per atom: 36.5
&SYSTEM
  ibrav = 0, nat = 20, ntyp = 4
/
ATOMIC_SPECIES
Ca 40.08 Ca.upf
Pr 140.91 Pr.upf
Nd 144.24 Nd.upf
Y 88.91 Y.upf
ATOMIC_POSITIONS angstrom
Ca -5.5115 -5.4394 -4.6504
Ca 4.1249 -6.9526 7.7447
Pr 5.2379 -3.3738 1.4603
Pr 3.7410 -6.1117 3.7814
Pr -6.6244 -9.0182 1.6339
Pr -5.1275 -6.2803 -0.6872
Pr -2.5131 -7.1772 -3.1621
Pr -3.3459 -3.3418 -2.3842
Pr 1.1266 -5.2148 6.2564
Pr 1.9593 -9.0501 5.4784
Pr 0.2208 -5.3037 -2.6129
Pr -1.8231 -4.9189 0.1615
Pr -1.6074 -7.0883 5.7072
Pr 0.4366 -7.4731 2.9327
Nd -0.2990 -7.9420 -0.3007
Nd -0.0284 -2.1917 -1.2238
Nd -1.0875 -4.4500 3.3950
Nd -1.3581 -10.2002 4.3181
Y 1.7008 -4.9370 0.5933
Y -3.0873 -7.4550 2.5009
CELL_PARAMETERS angstrom
-4.9115 -4.7110 7.2067
-4.6011 -4.2837 -6.6829
8.1260 -3.3972 2.5705

# 12
! CaPr5Nd2Y (PBE-GGA, relaxed); values from VASP
! Uncorrected energy in eV/atom: -4.508
! Magnetic moment in μB/cell: 0.00
! Density in g/cm³: 5.6
! Crystal system: orthorhombic
! Volume in Å³ per atom: 36.8
&SYSTEM
  ibrav = 0, nat = 18, ntyp = 4
/
ATOMIC_SPECIES
Ca 40.08 Ca.upf
Pr 140.91 Pr.upf
Nd 144.24 Nd.upf
Y 88.91 Y.upf
ATOMIC_POSITIONS angstrom
Ca -1.9125 -1.3307 2.7514
Ca 0.4687 -9.9399 3.0569
Pr -3.7399 -7.6351 0.7738
Pr 3.9498 -6.8966 6.6135
Pr 5.6637 -2.2655 5.9312
Pr 3.3593 -8.3342 3.7022
Pr 4.4391 -2.0203 2.2893
Pr 2.2958 -3.6354 5.0345
Pr -0.0302 -6.7942 1.9549
Pr -2.7343 -10.9785 2.1276
Pr -1.4009 -4.4717 3.8570
Pr -5.8807 -9.2513 3.5201
Nd 1.9731 -9.9620 6.7417
Nd 5.3258 -5.2639 3.5686
Nd 1.2282 -3.4047 1.4570
Nd -2.6696 -7.8568 4.3496
Y 0.6743 -6.8798 5.3508
Y -2.1111 -4.3940 0.4611
CELL_PARAMETERS angstrom
-1.9341 1.4578 5.0367
-4.0254 -10.6906 -1.5522
8.7486 -3.9479 4.5021